Computed, not measured: an optimized crystal structure of Ca2PtRhO6 at the PBE level of DFT.

```
Ca2PtRhO6
1.0
-2.786 -3.102 -1.195
3.936 -3.792 0.669
-1.524 -0.655 5.251
Ca Pt Rh O
2 1 1 6
Direct
0.037 0.500 0.000 Ca
0.037 0.000 0.500 Ca
0.626 0.500 0.500 Pt
0.604 0.000 0.000 Rh
0.707 0.247 0.247 O
0.707 0.247 0.753 O
0.151 0.500 0.500 O
0.163 0.000 0.000 O
0.707 0.753 0.753 O
0.707 0.753 0.247 O
```

Properties
formation energy from raw total energies: -1366 meV per atom
DOS(E_F): 6.449 states/eV per cell